1.
DFT (GGA-PBE) results for a relaxed Rb2YZrSe4 crystal.

abc: 4.076 7.125 8.370
angles: 106.20 90.00 90.00
Fractional coordinates of all 8 atoms:
Y: 0.000 0.000 0.000
Se: 0.500 0.243 0.197
Se: 0.000 0.721 0.194
Rb: 0.500 0.000 0.500
Se: 0.500 0.757 0.803
Rb: 0.000 0.500 0.500
Se: 0.000 0.279 0.806
Zr: 0.500 0.500 0.000

spin magnetization = 0.0 μB per formula unit
raw total energy = -0.39405 Ry/atom
space-group type = P2/m

---

2.
DFT (GGA-PBE) results for a relaxed RbZnSe2 crystal.

abc: 7.753 7.753 6.797
angles: 55.23 55.23 90.00
Fractional coordinates of all 8 atoms:
Zn: 0.500 0.500 0.000
Se: 0.519 0.125 0.250
Rb: 0.750 0.250 0.500
Se: 0.875 0.769 0.750
Zn: 0.250 0.750 0.500
Se: 0.231 0.625 0.250
Rb: 0.000 0.000 0.000
Se: 0.375 0.481 0.750

spin magnetization = 0.0 μB per formula unit
raw total energy = -0.21771 Ry/atom
space-group type = I-42d

---

3.
DFT (GGA-PBE) results for a relaxed Rb2ZnSe2 crystal.

abc: 7.679 7.679 5.302
angles: 90.00 90.00 90.00
Fractional coordinates of all 10 atoms:
Zn: 0.500 0.500 0.000
Rb: 0.853 0.353 0.500
Rb: 0.353 0.147 0.500
Se: 0.320 0.820 0.000
Se: 0.820 0.680 0.000
Rb: 0.647 0.853 0.500
Se: 0.180 0.320 0.000
Se: 0.680 0.180 0.000
Zn: 0.000 0.000 0.000
Rb: 0.147 0.647 0.500

spin magnetization = 0.0 μB per formula unit
raw total energy = -0.19361 Ry/atom
space-group type = P4/mbm

---

4.
DFT (GGA-PBE) results for a relaxed RbZnSe3 crystal.

abc: 6.641 6.641 6.641
angles: 90.00 90.00 90.00
Fractional coordinates of all 5 atoms:
Se: 0.000 0.000 0.500
Rb: 0.000 0.000 0.000
Se: 0.000 0.500 0.000
Zn: 0.500 0.500 0.500
Se: 0.500 0.000 0.000

energy relative to the lowest polymorph listed for this composition = 1181 meV/atom
spin magnetization = 5.0 μB per formula unit
raw total energy = -0.11535 Ry/atom
space-group type = Pm-3m

---

5.
DFT (GGA-PBE) results for a relaxed RbZn3Se crystal.

abc: 5.401 5.401 5.401
angles: 90.00 90.00 90.00
Fractional coordinates of all 5 atoms:
Se: 0.000 0.000 0.000
Rb: 0.500 0.500 0.500
Zn: 0.500 0.000 0.000
Zn: 0.000 0.500 0.000
Zn: 0.000 0.000 0.500

energy relative to the lowest polymorph listed for this composition = 0 meV/atom
spin magnetization = 0.0 μB per formula unit
raw total energy = -0.10200 Ry/atom
space-group type = Pm-3m

---

6.
DFT (GGA-PBE) results for a relaxed Rb2ZnSe crystal.

abc: 7.044 7.044 10.897
angles: 71.14 71.14 90.00
Fractional coordinates of all 8 atoms:
Zn: 0.250 0.750 0.500
Rb: 0.691 0.125 0.250
Rb: 0.875 0.941 0.750
Rb: 0.375 0.309 0.750
Se: 0.750 0.250 0.500
Se: 0.000 0.000 0.000
Zn: 0.500 0.500 0.000
Rb: 0.059 0.625 0.250

energy relative to the lowest polymorph listed for this composition = 242 meV/atom
spin magnetization = 0.0 μB per formula unit
raw total energy = -0.14523 Ry/atom
space-group type = I-42d

---

7.
DFT (GGA-PBE) results for a relaxed RbZn3Se crystal.

abc: 6.571 6.571 6.571
angles: 90.00 90.00 90.00
Fractional coordinates of all 5 atoms:
Zn: 0.000 0.500 0.000
Rb: 0.000 0.000 0.000
Zn: 0.500 0.000 0.000
Se: 0.500 0.500 0.500
Zn: 0.000 0.000 0.500

energy relative to the lowest polymorph listed for this composition = 585 meV/atom
spin magnetization = 1.0 μB per formula unit
raw total energy = -0.05901 Ry/atom
space-group type = Pm-3m

---

8.
DFT (GGA-PBE) results for a relaxed Rb3ZnSe2 crystal.

abc: 7.876 9.141 9.647
angles: 118.28 114.09 90.00
Fractional coordinates of all 12 atoms:
Se: 0.338 0.608 0.215
Rb: 0.221 0.471 0.442
Se: 0.878 0.108 0.215
Rb: 0.500 0.250 0.000
Rb: 0.221 0.971 0.442
Zn: 0.000 0.500 0.000
Rb: 0.779 0.029 0.558
Rb: 0.779 0.529 0.558
Se: 0.662 0.392 0.785
Rb: 0.500 0.750 0.000
Se: 0.122 0.892 0.785
Zn: 0.000 0.000 0.000

spin magnetization = 0.0 μB per formula unit
raw total energy = -0.19018 Ry/atom
space-group type = Ibam

---

9.
DFT (GGA-PBE) results for a relaxed Rb2ZnSe2 crystal.

abc: 6.671 6.671 8.017
angles: 65.42 65.42 90.00
Fractional coordinates of all 5 atoms:
Se: 0.826 0.826 0.348
Se: 0.174 0.174 0.652
Zn: 0.000 0.000 0.000
Rb: 0.250 0.750 0.500
Rb: 0.750 0.250 0.500

spin magnetization = 0.0 μB per formula unit
raw total energy = -0.21781 Ry/atom
space-group type = I4/mmm

---

10.
DFT (GGA-PBE) results for a relaxed Rb2ZnSe crystal.

abc: 5.876 5.876 5.876
angles: 60.00 60.00 60.00
Fractional coordinates of all 4 atoms:
Rb: 0.750 0.750 0.750
Rb: 0.250 0.250 0.250
Se: 0.500 0.500 0.500
Zn: 0.000 0.000 0.000

energy relative to the lowest polymorph listed for this composition = 0 meV/atom
spin magnetization = 0.0 μB per formula unit
raw total energy = -0.16301 Ry/atom
space-group type = Fm-3m

---

11.
DFT (GGA-PBE) results for a relaxed RbZn2Se crystal.

abc: 8.611 8.611 6.928
angles: 51.58 51.58 90.00
Fractional coordinates of all 8 atoms:
Zn: 0.209 0.625 0.250
Zn: 0.375 0.459 0.750
Zn: 0.541 0.125 0.250
Se: 0.500 0.500 0.000
Rb: 0.000 0.000 0.000
Rb: 0.750 0.250 0.500
Zn: 0.875 0.791 0.750
Se: 0.250 0.750 0.500

spin magnetization = 0.0 μB per formula unit
raw total energy = -0.13585 Ry/atom
space-group type = I-42d

---

12.
DFT (GGA-PBE) results for a relaxed Rb2Zn2Se crystal.

abc: 7.859 7.859 5.270
angles: 90.00 90.00 90.00
Fractional coordinates of all 10 atoms:
Se: 0.500 0.500 0.000
Rb: 0.808 0.308 0.500
Zn: 0.619 0.119 0.000
Zn: 0.119 0.381 0.000
Zn: 0.881 0.619 0.000
Zn: 0.381 0.881 0.000
Rb: 0.308 0.192 0.500
Rb: 0.692 0.808 0.500
Se: 0.000 0.000 0.000
Rb: 0.192 0.692 0.500

spin magnetization = 0.0 μB per formula unit
raw total energy = -0.12969 Ry/atom
space-group type = P4/mbm